DFT (GGA-PBE) results for a relaxed BeZnAu2N crystal.

Cell lengths 4.390, 4.456, 4.390 Å; angles 90.00, 90.00, 90.00 degrees
Sites, in units of the cell vectors:
Be1 0.000 0.000 0.000
Zn1 0.000 0.500 0.000
Au1 0.000 0.000 0.500
Au2 0.500 0.000 0.000
N1 0.500 0.500 0.500

Summary:
Its crystal system is tetragonal. As for the space group: P4/mmm. The calculation puts the uncorrected energy at -2.749 eV/atom. For the uncorrected formation energy, the calculation gives 1.227 eV/atom. For the polymorph energy (0 for the lowest one), the calculation gives 1.1239 eV/atom.